(1)
Material: YOsSe
Method: DFT, PBE
State: optimized geometry

Formation energy (no corrections): -0.051 eV/atom
Total moment: 0.00 μB/f.u.

Cell: 4.5073 4.5073 4.5073 Å, 60.00 60.00 60.00°
Closest atoms and distances in Å follow each position.
Element x y z (fractional)
Y  0.5000  0.5000  0.5000  4 Os 2.76
Os  0.7500  0.7500  0.7500  4 Se 2.76, 4 Y 2.76
Se  0.0000  0.0000  0.0000  4 Os 2.76

---

(2)
Material: Na2BeSi4Pt3
Method: DFT, PBE
State: optimized geometry

Formation energy (no corrections): -0.432 eV/atom
Total moment: 0.00 μB/f.u.

Cell: 4.0952 4.0952 10.0604 Å, 90.00 90.00 90.00°
Closest atoms and distances in Å follow each position.
Element x y z (fractional)
Pt  0.5000  0.0000  0.8688  5 Si 2.43-2.44
Na  0.5000  0.0000  0.2571  8 Si 3.12-3.30, 6 Pt 3.16-3.19, 2 Be 3.19
Si  0.0000  0.5000  0.3724  3 Pt 2.42-2.43, 2 Be 2.42
Si  0.5000  0.0000  0.6276  2 Be 2.42, 3 Pt 2.42-2.43
Pt  0.0000  0.5000  0.1312  5 Si 2.43-2.44
Na  0.0000  0.5000  0.7429  8 Si 3.12-3.30, 6 Pt 3.16-3.19, 2 Be 3.19
Pt  0.0000  0.0000  0.5000  4 Si 2.42
Si  0.5000  0.5000  0.0000  4 Pt 2.44
Be  0.5000  0.5000  0.5000  4 Si 2.42
Si  0.0000  0.0000  0.0000  4 Pt 2.44